Crystalline Sr4SbMo at its relaxed geometry, computed with PBEsol.

It has space group F-43m (No. 216), with a = 9.406 Å, b = 9.406 Å, c = 9.406 Å, α = 90.00°, β = 90.00° and γ = 90.00°. The inequivalent atoms are Sr at (0.125, 0.125, 0.125), Sb at (0.000, 0.000, 0.500) and Mo at (0.250, 0.250, 0.750).

The calculation puts the volume at 832.3 Å³/cell. Its formation energy from raw total energies is 918 meV/atom.